VASP calculation (PBE with a Hubbard U) on an optimized crystal structure of WAuO2.

Values from the calculation:
Calculated density   12.1 g/cm3
Space group   R-3m (166)
V   57 Å³/f.u.
Relative energy among the computed polymorphs   979 meV per atom
M_tot   0.06 μB/f.u.

Unit cell a=7.6206 b=7.6206 c=7.6206 alpha=22.50 beta=22.50 gamma=22.50
Element x y z (fractional)
W 0.0000 0.0000 0.0000
Au 0.5000 0.5000 0.5000
O 0.0825 0.0825 0.0825
O 0.9175 0.9175 0.9175